1.
Density functional theory data (PBE-GGA) for an optimized crystal structure of TlVSe2N.

a = 5.332 Å, b = 5.332 Å, c = 4.025 Å
α = 90.00°, β = 90.00°, γ = 90.00°
Atoms (fractional coordinates):
Tl1 0.000 0.000 0.000
V1 0.500 0.500 0.500
Se1 0.000 0.500 0.000
Se2 0.500 0.000 0.000
N1 0.000 0.000 0.500

Values from the calculation:
Its final energy is -3.7345 eV per atom. For the relative energy among the computed polymorphs, the calculation gives 166.22 kJ per mole of atoms. The raw formation energy comes out at 156.4 kJ per mole of atoms.

2.
Density functional theory data (PBE-GGA) for an optimized crystal structure of Ce2NdO.

a = 9.105 Å, b = 9.105 Å, c = 9.105 Å
α = 22.77°, β = 22.77°, γ = 22.77°
Atoms (fractional coordinates):
Ce1 0.218 0.218 0.218
Ce2 0.782 0.782 0.782
Nd1 0.000 0.000 0.000
O1 0.500 0.500 0.500

Values from the calculation:
Its final energy is -6.6433 eV per atom. The raw formation energy comes out at -120.1 kJ per mole of atoms.

3.
Density functional theory data (PBE-GGA) for an optimized crystal structure of AlTlN.

a = 3.622 Å, b = 3.622 Å, c = 9.947 Å
α = 90.00°, β = 90.00°, γ = 90.00°
Atoms (fractional coordinates):
Al1 0.250 0.750 0.000
Al2 0.750 0.250 0.000
Tl1 0.250 0.250 0.382
Tl2 0.750 0.750 0.618
N1 0.250 0.250 0.943
N2 0.750 0.750 0.057

Values from the calculation:
Its final energy is -5.2754 eV per atom. The raw formation energy comes out at -44.8 kJ per mole of atoms.